## one
{
  "formula": "CsReNi3",
  "functional": "PBE",
  "state": "relaxed",
  "magnetic_moment_mub_per_cell": 0.000,
  "cell": [[4.7452, 0.0000, 0.0000], [0.0000, 4.7452, 0.0000], [0.0000, 0.0000, 4.7452]],
  "species": ["Cs", "Re", "Ni", "Ni", "Ni"],
  "frac_coords": [[0.0000, 0.0000, 0.0000], [0.5000, 0.5000, 0.5000], [0.0000, 0.5000, 0.5000], [0.5000, 0.0000, 0.5000], [0.5000, 0.5000, 0.0000]]
}

---

## two
{
  "formula": "CsReNi3",
  "functional": "PBE",
  "state": "relaxed",
  "magnetic_moment_mub_per_cell": 0.003,
  "cell": [[4.5995, 0.0000, 0.0000], [0.0000, 4.5995, 0.0000], [0.0000, 0.0000, 4.5995]],
  "species": ["Cs", "Re", "Ni", "Ni", "Ni"],
  "frac_coords": [[0.0000, 0.0000, 0.0000], [0.5000, 0.5000, 0.5000], [0.0000, 0.0000, 0.5000], [0.0000, 0.5000, 0.0000], [0.5000, 0.0000, 0.0000]]
}

---

Quick one: most stable of them? one

---

## one
{
  "formula": "CsNiRh3",
  "functional": "PBE",
  "state": "relaxed",
  "magnetic_moment_mub_per_cell": 1.826,
  "cell": [[4.9102, 0.0000, 0.0000], [0.0000, 4.9102, 0.0000], [0.0000, 0.0000, 4.9102]],
  "species": ["Cs", "Ni", "Rh", "Rh", "Rh"],
  "frac_coords": [[0.0000, 0.0000, 0.0000], [0.5000, 0.5000, 0.5000], [0.0000, 0.0000, 0.5000], [0.0000, 0.5000, 0.0000], [0.5000, 0.0000, 0.0000]]
}

---

## two
{
  "formula": "CsNiRh3",
  "functional": "PBE",
  "state": "relaxed",
  "magnetic_moment_mub_per_cell": 3.690,
  "cell": [[4.7353, 0.0000, 0.0000], [0.0000, 4.7353, 0.0000], [0.0000, 0.0000, 4.7353]],
  "species": ["Cs", "Ni", "Rh", "Rh", "Rh"],
  "frac_coords": [[0.0000, 0.0000, 0.0000], [0.5000, 0.5000, 0.5000], [0.0000, 0.5000, 0.5000], [0.5000, 0.0000, 0.5000], [0.5000, 0.5000, 0.0000]]
}

---

Quick one: most stable of them? two

---

## one
{
  "formula": "CsNi2Ru",
  "functional": "PBE",
  "state": "relaxed",
  "magnetic_moment_mub_per_cell": 0.001,
  "cell": [[-3.6867, 3.6867, 4.2028], [3.6867, -3.6867, 4.2028], [3.6867, 3.6867, -4.2028]],
  "species": ["Cs", "Cs", "Ni", "Ni", "Ni", "Ni", "Ru", "Ru"],
  "frac_coords": [[0.0000, 0.0000, 0.0000], [0.7500, 0.2500, 0.5000], [0.2728, 0.1250, 0.6478], [0.3750, 0.7272, 0.8522], [0.4772, 0.6250, 0.3522], [0.8750, 0.5228, 0.1478], [0.2500, 0.7500, 0.5000], [0.5000, 0.5000, 0.0000]]
}

---

## two
{
  "formula": "CsNi2Ru",
  "functional": "PBE",
  "state": "relaxed",
  "magnetic_moment_mub_per_cell": 2.594,
  "cell": [[0.0000, 3.2907, 3.2907], [3.2907, 0.0000, 3.2907], [3.2907, 3.2907, 0.0000]],
  "species": ["Cs", "Ni", "Ni", "Ru"],
  "frac_coords": [[0.0000, 0.0000, 0.0000], [0.2500, 0.2500, 0.2500], [0.7500, 0.7500, 0.7500], [0.5000, 0.5000, 0.5000]]
}

---

Quick one: most stable of them? one

---

## one
{
  "formula": "Cs2NiS",
  "functional": "PBE",
  "state": "relaxed",
  "magnetic_moment_mub_per_cell": 1.784,
  "cell": [[0.0000, 4.2021, 4.2021], [4.2021, 0.0000, 4.2021], [4.2021, 4.2021, 0.0000]],
  "species": ["Cs", "Cs", "Ni", "S"],
  "frac_coords": [[0.2500, 0.2500, 0.2500], [0.7500, 0.7500, 0.7500], [0.0000, 0.0000, 0.0000], [0.5000, 0.5000, 0.5000]]
}

---

## two
{
  "formula": "Cs2NiS",
  "functional": "PBE",
  "state": "relaxed",
  "magnetic_moment_mub_per_cell": 2.650,
  "cell": [[-2.8932, 2.8932, 10.7117], [2.8932, -2.8932, 10.7117], [2.8932, 2.8932, -10.7117]],
  "species": ["Cs", "Cs", "Cs", "Cs", "Ni", "Ni", "S", "S"],
  "frac_coords": [[0.1175, 0.6250, 0.9925], [0.3750, 0.3675, 0.4925], [0.6325, 0.1250, 0.0075], [0.8750, 0.8825, 0.5075], [0.2500, 0.7500, 0.5000], [0.5000, 0.5000, 0.0000], [0.0000, 0.0000, 0.0000], [0.7500, 0.2500, 0.5000]]
}

---

Quick one: most stable of them? one

---

## one
{
  "formula": "CsNiS3",
  "functional": "PBE",
  "state": "relaxed",
  "magnetic_moment_mub_per_cell": 0.000,
  "cell": [[4.7098, 0.0000, 0.0000], [0.0000, 4.7098, 0.0000], [0.0000, 0.0000, 4.7098]],
  "species": ["Cs", "Ni", "S", "S", "S"],
  "frac_coords": [[0.0000, 0.0000, 0.0000], [0.5000, 0.5000, 0.5000], [0.0000, 0.5000, 0.5000], [0.5000, 0.0000, 0.5000], [0.5000, 0.5000, 0.0000]]
}

---

## two
{
  "formula": "CsNiS3",
  "functional": "PBE",
  "state": "relaxed",
  "magnetic_moment_mub_per_cell": 2.462,
  "cell": [[5.4470, 0.0000, 0.0000], [0.0000, 5.4470, 0.0000], [0.0000, 0.0000, 5.4470]],
  "species": ["Cs", "Ni", "S", "S", "S"],
  "frac_coords": [[0.0000, 0.0000, 0.0000], [0.5000, 0.5000, 0.5000], [0.0000, 0.0000, 0.5000], [0.0000, 0.5000, 0.0000], [0.5000, 0.0000, 0.0000]]
}

---

Quick one: most stable of them? one

---

## one
{
  "formula": "CsNi3S",
  "functional": "PBE",
  "state": "relaxed",
  "magnetic_moment_mub_per_cell": 1.010,
  "cell": [[4.7864, 0.0000, 0.0000], [0.0000, 4.7864, 0.0000], [0.0000, 0.0000, 4.7864]],
  "species": ["Cs", "Ni", "Ni", "Ni", "S"],
  "frac_coords": [[0.0000, 0.0000, 0.0000], [0.0000, 0.0000, 0.5000], [0.0000, 0.5000, 0.0000], [0.5000, 0.0000, 0.0000], [0.5000, 0.5000, 0.5000]]
}

---

## two
{
  "formula": "CsNi3S",
  "functional": "PBE",
  "state": "relaxed",
  "magnetic_moment_mub_per_cell": 1.000,
  "cell": [[4.4729, 0.0000, 0.0000], [0.0000, 4.4729, 0.0000], [0.0000, 0.0000, 4.4729]],
  "species": ["Cs", "Ni", "Ni", "Ni", "S"],
  "frac_coords": [[0.0000, 0.0000, 0.0000], [0.0000, 0.5000, 0.5000], [0.5000, 0.0000, 0.5000], [0.5000, 0.5000, 0.0000], [0.5000, 0.5000, 0.5000]]
}

---

Quick one: most stable of them? two